SrCaRh4: single point on PBEsol structure, meta-GGA SCAN.

N(E_F) = 27.2 states/eV/cell
volume = 426 Å³ per cell
E_form = -2.17 eV per formula unit

Cell lengths 7.5260, 7.5260, 7.5260 Å; angles 90.00, 90.00, 90.00 degrees
With the nearest neighbours (Å) after each atom.
Space group F-43m (No. 216)
Asymmetric unit:
Sr (0.0000, 0.0000, 0.0000) [4 per cell]  12 Rh 3.12, 4 Ca 3.26
Ca (0.2500, 0.2500, 0.2500) [4 per cell]  12 Rh 3.12, 4 Sr 3.26
Rh (0.1247, 0.1247, 0.6247) [16 per cell]  6 Rh 2.66-2.67